a.
Density functional theory data (PBE-GGA) for a relaxed structure of Pr3Sm4Dy4.

```
Pr3Sm4Dy4
1.0
3.5255 0.0000 -0.6494
-1.0235 9.8707 -5.5564
0.2222 -0.2804 11.1009
Pr Sm Dy
3 4 4
direct
0.8962 0.8962 0.7923
0.1038 0.1038 0.2077
0.0000 0.5000 0.0000
0.6698 0.4327 0.3395
0.3302 0.0932 0.6605
0.3302 0.5673 0.6605
0.6698 0.9068 0.3395
0.7726 0.2727 0.5453
0.2274 0.7273 0.4547
0.5000 0.7863 0.0000
0.5000 0.2137 0.0000
```

Summary:
The calculation puts the volume at 34.73 Å³/atom.

=====

b.
Density functional theory data (PBE-GGA) for a relaxed structure of Pr3Sm4Dy4.

```
Pr3Sm4Dy4
1.0
5.7754 0.0000 0.0000
-2.8877 6.0621 0.0000
0.0000 0.0000 10.7764
Pr Sm Dy
3 4 4
direct
0.4088 0.8176 0.2922
0.4088 0.8176 0.7078
0.2544 0.5087 0.0000
0.7517 0.5035 0.7867
0.7517 0.5035 0.2133
0.8859 0.7719 0.5000
0.9589 0.9178 0.0000
0.6140 0.2280 0.5000
0.5561 0.1122 0.0000
0.1041 0.2081 0.6993
0.1041 0.2081 0.3007
```

Summary:
The calculation puts the volume at 34.30 Å³/atom.

=====

Of them, b has the highest stability.